# 1
Below is a relaxed Cs2AlSnI crystal, with properties calculated at the PBE level.

a = 7.538 Å, b = 7.538 Å, c = 5.039 Å
α = 90.00°, β = 90.00°, γ = 90.00°
Sites, in units of the cell vectors:
Cs  0.000  0.500  0.000
Cs  0.500  0.000  0.000
Al  0.000  0.000  0.500
Sn  0.000  0.000  0.000
I  0.500  0.500  0.500

The value obtained for the density is 3.12 g/cm3. Its total magnetization is 0.000 μB/atom. The value obtained for the calculated total energy is -2.508 eV per atom. Its uncorrected formation energy is -0.31 eV per atom. The space group is P4/mmm, No. 123.

=====

# 2
Below is a relaxed CsAlTeI2 crystal, with properties calculated at the PBE level.

a = 5.947 Å, b = 5.947 Å, c = 5.427 Å
α = 90.00°, β = 90.00°, γ = 90.00°
Sites, in units of the cell vectors:
Cs  0.000  0.000  0.000
Al  0.500  0.500  0.500
Te  0.500  0.500  0.000
I  0.000  0.500  0.500
I  0.500  0.000  0.500

The value obtained for the density is 4.68 g/cm3. As for the polymorph energy (0 for the lowest one): 0 meV per atom. Its total magnetization is 0.000 μB/atom. The value obtained for the calculated total energy is -2.837 eV per atom. Its uncorrected formation energy is -0.67 eV per atom. The space group is P4/mmm, No. 123.

=====

# 3
Below is a relaxed CsAlTeI2 crystal, with properties calculated at the PBE level.

a = 7.186 Å, b = 7.186 Å, c = 6.926 Å
α = 90.00°, β = 90.00°, γ = 90.00°
Sites, in units of the cell vectors:
Cs  0.000  0.000  0.000
Al  0.500  0.500  0.500
Te  0.000  0.000  0.500
I  0.000  0.500  0.000
I  0.500  0.000  0.000

The value obtained for the density is 2.51 g/cm3. As for the polymorph energy (0 for the lowest one): 1009 meV per atom. Its total magnetization is 0.415 μB/atom. The value obtained for the calculated total energy is -1.829 eV per atom. Its uncorrected formation energy is 0.34 eV per atom. The space group is P4/mmm, No. 123.

=====

# 4
Below is a relaxed Cs2AlTlI6 crystal, with properties calculated at the PBE level.

a = 8.703 Å, b = 8.703 Å, c = 8.703 Å
α = 60.00°, β = 60.00°, γ = 60.00°
Sites, in units of the cell vectors:
Cs  0.250  0.250  0.250
Cs  0.750  0.750  0.750
Al  0.000  0.000  0.000
Tl  0.500  0.500  0.500
I  0.227  0.227  0.773
I  0.227  0.773  0.227
I  0.227  0.773  0.773
I  0.773  0.227  0.227
I  0.773  0.227  0.773
I  0.773  0.773  0.227

The value obtained for the density is 4.48 g/cm3. As for the polymorph energy (0 for the lowest one): 11 meV per atom. Its total magnetization is 0.000 μB/atom. The value obtained for the calculated total energy is -2.694 eV per atom. Its uncorrected formation energy is -0.98 eV per atom. The space group is Fm-3m, No. 225.

=====

# 5
Below is a relaxed CsAl2TlI8 crystal, with properties calculated at the PBE level.

a = 12.107 Å, b = 12.107 Å, c = 12.107 Å
α = 37.35°, β = 37.35°, γ = 37.35°
Sites, in units of the cell vectors:
Cs  0.000  0.000  0.000
Al  0.254  0.254  0.254
Al  0.746  0.746  0.746
Tl  0.500  0.500  0.500
I  0.063  0.439  0.809
I  0.191  0.937  0.561
I  0.330  0.330  0.330
I  0.439  0.809  0.063
I  0.561  0.191  0.937
I  0.670  0.670  0.670
I  0.809  0.063  0.439
I  0.937  0.561  0.191

The value obtained for the density is 3.99 g/cm3. Its total magnetization is 0.000 μB/atom. The value obtained for the calculated total energy is -2.786 eV per atom. Its uncorrected formation energy is -0.86 eV per atom. The space group is R-3, No. 148.

=====

# 6
Below is a relaxed Cs2AlTlI6 crystal, with properties calculated at the PBE level.

a = 8.397 Å, b = 8.397 Å, c = 8.477 Å
α = 90.00°, β = 90.00°, γ = 120.00°
Sites, in units of the cell vectors:
Cs  0.333  0.667  0.334
Cs  0.667  0.333  0.666
Al  0.000  0.000  0.500
Tl  0.000  0.000  0.000
I  0.158  0.316  0.691
I  0.158  0.842  0.691
I  0.316  0.158  0.309
I  0.684  0.842  0.691
I  0.842  0.158  0.309
I  0.842  0.684  0.309

The value obtained for the density is 4.04 g/cm3. As for the polymorph energy (0 for the lowest one): 0 meV per atom. Its total magnetization is 0.000 μB/atom. The value obtained for the calculated total energy is -2.706 eV per atom. Its uncorrected formation energy is -0.99 eV per atom. The space group is P-3m1, No. 164.

=====

# 7
Below is a relaxed CsAlW2I crystal, with properties calculated at the PBE level.

a = 5.000 Å, b = 5.000 Å, c = 7.445 Å
α = 90.00°, β = 90.00°, γ = 90.00°
Sites, in units of the cell vectors:
Cs  0.000  0.000  0.000
Al  0.000  0.000  0.500
W  0.000  0.500  0.500
W  0.500  0.000  0.500
I  0.500  0.500  0.000

The value obtained for the density is 5.84 g/cm3. Its total magnetization is 1.270 μB/atom. The value obtained for the calculated total energy is -4.596 eV per atom. Its uncorrected formation energy is 1.82 eV per atom. The space group is P4/mmm, No. 123.

=====

# 8
Below is a relaxed Cs2YAlI6 crystal, with properties calculated at the PBE level.

a = 8.821 Å, b = 8.821 Å, c = 8.821 Å
α = 60.00°, β = 60.00°, γ = 60.00°
Sites, in units of the cell vectors:
Cs  0.250  0.250  0.250
Cs  0.750  0.750  0.750
Y  0.000  0.000  0.000
Al  0.500  0.500  0.500
I  0.244  0.244  0.756
I  0.244  0.756  0.244
I  0.244  0.756  0.756
I  0.756  0.244  0.244
I  0.756  0.244  0.756
I  0.756  0.756  0.244

The value obtained for the density is 3.91 g/cm3. Its total magnetization is 0.000 μB/atom. The value obtained for the calculated total energy is -3.309 eV per atom. Its uncorrected formation energy is -1.19 eV per atom. The space group is Fm-3m, No. 225.

=====

# 9
Below is a relaxed CsAlZn2I crystal, with properties calculated at the PBE level.

a = 5.170 Å, b = 5.170 Å, c = 7.467 Å
α = 90.00°, β = 90.00°, γ = 90.00°
Sites, in units of the cell vectors:
Cs  0.000  0.000  0.000
Al  0.000  0.000  0.500
Zn  0.000  0.500  0.500
Zn  0.500  0.000  0.500
I  0.500  0.500  0.000

The value obtained for the density is 3.47 g/cm3. Its total magnetization is 0.000 μB/atom. The value obtained for the calculated total energy is -1.791 eV per atom. Its uncorrected formation energy is -0.05 eV per atom. The space group is P4/mmm, No. 123.

=====

# 10
Below is a relaxed Cs2AlZnI6 crystal, with properties calculated at the PBE level.

a = 8.276 Å, b = 8.276 Å, c = 8.276 Å
α = 120.21°, β = 120.21°, γ = 89.64°
Sites, in units of the cell vectors:
Cs  0.250  0.750  0.500
Cs  0.750  0.250  0.500
Al  0.000  0.000  0.000
Zn  0.500  0.500  0.000
I  0.243  0.243  0.000
I  0.245  0.245  0.490
I  0.245  0.755  0.000
I  0.755  0.245  0.000
I  0.755  0.755  0.510
I  0.757  0.757  0.000

The value obtained for the density is 4.65 g/cm3. Its total magnetization is 0.000 μB/atom. The value obtained for the calculated total energy is -2.482 eV per atom. Its uncorrected formation energy is -0.88 eV per atom. The space group is I4/mmm, No. 139.

=====

# 11
Below is a relaxed Cs2ZrAlI6 crystal, with properties calculated at the PBE level.

a = 8.645 Å, b = 8.645 Å, c = 8.645 Å
α = 60.00°, β = 60.00°, γ = 60.00°
Sites, in units of the cell vectors:
Cs  0.250  0.250  0.250
Cs  0.750  0.750  0.750
Zr  0.000  0.000  0.000
Al  0.500  0.500  0.500
I  0.241  0.241  0.759
I  0.241  0.759  0.241
I  0.241  0.759  0.759
I  0.759  0.241  0.241
I  0.759  0.241  0.759
I  0.759  0.759  0.241

The value obtained for the density is 4.16 g/cm3. Its total magnetization is 0.100 μB/atom. The value obtained for the calculated total energy is -3.274 eV per atom. Its uncorrected formation energy is -0.94 eV per atom. The space group is Fm-3m, No. 225.

=====

# 12
Below is a relaxed CsZr2AlI crystal, with properties calculated at the PBE level.

a = 5.410 Å, b = 5.410 Å, c = 5.696 Å
α = 90.00°, β = 90.00°, γ = 90.00°
Sites, in units of the cell vectors:
Cs  0.000  0.000  0.000
Zr  0.000  0.500  0.000
Zr  0.500  0.000  0.000
Al  0.000  0.000  0.500
I  0.500  0.500  0.500

The value obtained for the density is 4.67 g/cm3. Its total magnetization is 0.002 μB/atom. The value obtained for the calculated total energy is -2.714 eV per atom. Its uncorrected formation energy is 1.93 eV per atom. The space group is P4/mmm, No. 123.